Computed, not measured: a geometry-optimized CdF structure at the GGA-PBE level of DFT.

Cell and atoms, written as POSCAR:
```
CdF
1.0
5.024 0.000 0.000
0.000 5.024 0.000
0.000 0.000 5.428
Cd F
4 4
Cartesian
1.023 1.023 0.000
1.489 3.535 2.714
3.535 1.489 2.714
4.000 4.000 0.000
0.917 0.917 2.714
1.595 3.429 0.000
3.429 1.595 0.000
4.107 4.107 2.714
```

Properties
ΔE_f (raw) (eV per atom): -1.337
Space-group type: P4_2/mnm, No. 136

***

Computed, not measured: a geometry-optimized La6Pm5Ho structure at the GGA-PBE level of DFT.

Cell and atoms, written as POSCAR:
```
La6Pm5Ho
1.0
-2.623 5.143 7.862
2.623 -5.143 7.862
2.623 5.143 -7.862
La Pm Ho
6 5 1
Cartesian
2.623 2.558 -2.611
0.000 2.557 0.000
2.623 2.558 2.611
0.000 2.585 5.251
0.000 7.730 0.000
0.000 2.585 10.473
0.000 0.000 2.611
2.623 0.000 5.239
0.000 0.000 7.862
0.000 5.143 2.623
0.000 0.000 13.112
2.623 0.000 0.000
```

Properties
Space-group type: Immm, No. 71

***

Computed, not measured: a geometry-optimized HfCu2Pd8 structure at the GGA-PBE level of DFT.

Cell and atoms, written as POSCAR:
```
HfCu2Pd8
1.0
3.999 -5.250 0.000
3.999 5.250 0.000
0.000 0.000 4.165
Hf Cu Pd
1 2 8
Cartesian
0.000 0.000 0.000
3.999 1.206 2.082
3.999 -1.206 2.082
1.391 1.408 2.082
3.999 2.562 0.000
1.391 -1.408 2.082
2.661 0.000 0.000
5.338 0.000 0.000
6.608 1.408 2.082
3.999 -2.562 0.000
6.608 -1.408 2.082
```

Properties
Space-group type: Cmmm, No. 65

***

Computed, not measured: a geometry-optimized CaCr3Pt structure at the GGA-PBE level of DFT.

Cell and atoms, written as POSCAR:
```
CaCr3Pt
1.0
4.228 0.000 0.000
0.000 4.228 0.000
0.000 0.000 4.228
Ca Cr Pt
1 3 1
Cartesian
0.000 0.000 0.000
0.000 0.000 2.114
0.000 2.114 0.000
2.114 0.000 0.000
2.114 2.114 2.114
```

Properties
Space-group type: Pm-3m, No. 221

***

| no. | calculated total energy (eV per cell) | magnetization (μB per formula unit) |
| --- | --- | --- |
| 1 | -21.839 | 0.000 |
| 2 | -57.721 | 0.000 |
| 3 | -62.345 | 0.000 |
| 4 | -25.239 | 1.172 |